Record 1
Rb14Nd2O9: optimized geometry, PBE.

abc: 8.3301 8.3301 11.6142
angles: 90.00 90.00 120.00
Last column: nearest neighbours and their distance in Å.
Space group P-3 (No. 147)
Symmetry-distinct sites (fractional):
Rb: 0.0000 0.0000 0.2480 (multiplicity 2)  4 O 2.88-3.02
Rb: 0.0439 0.6783 0.9083 (multiplicity 6)  4 O 3.02-3.15
Rb: 0.0982 0.3858 0.5914 (multiplicity 6)  3 O 2.85-3.07
Nd: 0.3333 0.6667 0.2743 (multiplicity 2)  4 O 2.28-2.30
O: 0.0000 0.0000 0.0000 (multiplicity 1)  8 Rb 2.88-3.07
O: 0.1134 0.3806 0.3411 (multiplicity 6)  1 Nd 2.30
O: 0.3333 0.6667 0.0783 (multiplicity 2)  1 Nd 2.28

Results
- raw total energy (eV/atom) = -4.02
- crystal system = trigonal

Record 2
Rb5NdO4: optimized geometry, PBE.

abc: 8.7149 9.2605 6.6821
angles: 90.00 90.00 90.00
Last column: nearest neighbours and their distance in Å.
Space group Pmmn (No. 59, origin choice 2)
Symmetry-distinct sites (fractional):
Rb: 0.0127 0.0610 0.2426 (multiplicity 8)  4 O 2.84-3.04
Rb: 0.2500 0.7500 0.3189 (multiplicity 2)  4 O 2.82-3.06
Nd: 0.2500 0.2500 0.7160 (multiplicity 2)  4 O 2.27-2.29
O: 0.0289 0.2500 0.8950 (multiplicity 4)  1 Nd 2.27
O: 0.2500 0.0420 0.5318 (multiplicity 4)  1 Nd 2.29

Results
- energy relative to the lowest polymorph listed for this composition (meV/atom) = 0
- crystal system = orthorhombic

no.,total magnetic moment (μB per cell),DOS(E_F) (states/eV/atom)
1,1.43,0.18
2,0.00,0.00